# 1
Below is a relaxed CrWO2 crystal, with properties calculated at the GGA+U level.

abc: 2.868 2.868 20.369
angles: 90.00 90.00 120.00
Positions (direct):
1 Cr 0.000 0.000 0.000
2 Cr 0.333 0.667 0.667
3 Cr 0.667 0.333 0.333
4 W 0.000 0.000 0.500
5 W 0.333 0.667 0.167
6 W 0.667 0.333 0.833
7 O 0.000 0.000 0.098
8 O 0.000 0.000 0.902
9 O 0.333 0.667 0.569
10 O 0.333 0.667 0.765
11 O 0.667 0.333 0.235
12 O 0.667 0.333 0.431

## Properties
Excess energy over the best structure of this formula in the dataset (meV per atom): 344

# 2
Below is a relaxed CrW2O6 crystal, with properties calculated at the GGA+U level.

abc: 8.817 8.817 4.614
angles: 90.00 90.00 120.00
Positions (direct):
1 Cr 0.000 0.000 0.000
2 Cr 0.333 0.667 0.496
3 Cr 0.667 0.333 0.504
4 W 0.000 0.351 0.000
5 W 0.000 0.687 0.500
6 W 0.313 0.313 0.500
7 W 0.351 0.000 0.000
8 W 0.649 0.649 0.000
9 W 0.687 0.000 0.500
10 O 0.108 0.220 0.236
11 O 0.108 0.572 0.267
12 O 0.112 0.892 0.236
13 O 0.213 0.442 0.728
14 O 0.220 0.108 0.764
15 O 0.228 0.787 0.728
16 O 0.428 0.537 0.267
17 O 0.442 0.213 0.272
18 O 0.463 0.892 0.267
19 O 0.537 0.428 0.733
20 O 0.558 0.772 0.728
21 O 0.572 0.108 0.733
22 O 0.772 0.558 0.272
23 O 0.780 0.888 0.236
24 O 0.787 0.228 0.272
25 O 0.888 0.780 0.764
26 O 0.892 0.112 0.764
27 O 0.892 0.463 0.733

## Properties
Total energy (eV per atom): -7.724

# 3
Below is a relaxed CrWO2 crystal, with properties calculated at the GGA+U level.

abc: 5.548 5.548 5.548
angles: 90.00 90.00 90.00
Positions (direct):
1 Cr 0.000 0.000 0.000
2 Cr 0.000 0.500 0.500
3 Cr 0.500 0.000 0.500
4 Cr 0.500 0.500 0.000
5 W 0.000 0.000 0.500
6 W 0.000 0.500 0.000
7 W 0.500 0.000 0.000
8 W 0.500 0.500 0.500
9 O 0.250 0.250 0.250
10 O 0.250 0.250 0.750
11 O 0.250 0.750 0.250
12 O 0.250 0.750 0.750
13 O 0.750 0.250 0.250
14 O 0.750 0.250 0.750
15 O 0.750 0.750 0.250
16 O 0.750 0.750 0.750

## Properties
Excess energy over the best structure of this formula in the dataset (meV per atom): 716

# 4
Below is a relaxed CrWO2 crystal, with properties calculated at the GGA+U level.

abc: 3.041 3.041 18.833
angles: 90.00 90.00 120.00
Positions (direct):
1 Cr 0.000 0.000 0.000
2 Cr 0.333 0.667 0.667
3 Cr 0.667 0.333 0.333
4 W 0.000 0.000 0.500
5 W 0.333 0.667 0.167
6 W 0.667 0.333 0.833
7 O 0.000 0.000 0.387
8 O 0.000 0.000 0.613
9 O 0.333 0.667 0.054
10 O 0.333 0.667 0.279
11 O 0.667 0.333 0.721
12 O 0.667 0.333 0.946

## Properties
Excess energy over the best structure of this formula in the dataset (meV per atom): 0

# 5
Below is a relaxed YCrW2O8 crystal, with properties calculated at the GGA+U level.

abc: 5.310 5.736 10.899
angles: 90.00 116.64 90.00
Positions (direct):
1 Y 0.000 0.161 0.250
2 Y 0.000 0.839 0.750
3 Cr 0.500 0.167 0.750
4 Cr 0.500 0.833 0.250
5 W 0.246 0.340 0.997
6 W 0.246 0.660 0.497
7 W 0.754 0.340 0.503
8 W 0.754 0.660 0.003
9 O 0.179 0.393 0.614
10 O 0.179 0.607 0.114
11 O 0.253 0.111 0.126
12 O 0.253 0.889 0.626
13 O 0.281 0.144 0.858
14 O 0.281 0.856 0.358
15 O 0.324 0.385 0.403
16 O 0.324 0.615 0.903
17 O 0.676 0.385 0.097
18 O 0.676 0.615 0.597
19 O 0.719 0.144 0.642
20 O 0.719 0.856 0.142
21 O 0.747 0.111 0.374
22 O 0.747 0.889 0.874
23 O 0.821 0.393 0.886
24 O 0.821 0.607 0.386

## Properties
Excess energy over the best structure of this formula in the dataset (meV per atom): 0

# 6
Below is a relaxed YCrW2O8 crystal, with properties calculated at the GGA+U level.

abc: 5.100 6.056 6.332
angles: 62.66 69.74 87.83
Positions (direct):
1 Y 0.000 0.000 0.000
2 Cr 0.436 0.547 0.023
3 W 0.177 0.739 0.525
4 W 0.695 0.407 0.508
5 O 0.093 0.586 0.304
6 O 0.166 0.049 0.273
7 O 0.221 0.788 0.800
8 O 0.297 0.373 0.711
9 O 0.604 0.768 0.326
10 O 0.652 0.343 0.266
11 O 0.753 0.106 0.738
12 O 0.781 0.562 0.728

## Properties
Excess energy over the best structure of this formula in the dataset (meV per atom): 42

# 7
Below is a relaxed Y12Cr3O5 crystal, with properties calculated at the GGA+U level.

abc: 13.465 13.465 13.465
angles: 109.47 109.47 109.47
Positions (direct):
1 Y 0.010 0.198 0.107
2 Y 0.010 0.312 0.903
3 Y 0.091 0.698 0.688
4 Y 0.091 0.893 0.403
5 Y 0.097 0.607 0.409
6 Y 0.097 0.990 0.688
7 Y 0.107 0.010 0.198
8 Y 0.107 0.597 0.909
9 Y 0.188 0.198 0.591
10 Y 0.188 0.490 0.597
11 Y 0.198 0.107 0.010
12 Y 0.198 0.591 0.188
13 Y 0.302 0.312 0.909
14 Y 0.302 0.490 0.393
15 Y 0.312 0.903 0.010
16 Y 0.312 0.909 0.302
17 Y 0.393 0.302 0.490
18 Y 0.393 0.591 0.903
19 Y 0.403 0.091 0.893
20 Y 0.403 0.812 0.510
21 Y 0.409 0.097 0.607
22 Y 0.409 0.812 0.802
23 Y 0.490 0.393 0.302
24 Y 0.490 0.597 0.188
25 Y 0.510 0.403 0.812
26 Y 0.510 0.607 0.698
27 Y 0.591 0.188 0.198
28 Y 0.591 0.903 0.393
29 Y 0.597 0.188 0.490
30 Y 0.597 0.909 0.107
31 Y 0.607 0.409 0.097
32 Y 0.607 0.698 0.510
33 Y 0.688 0.091 0.698
34 Y 0.688 0.097 0.990
35 Y 0.698 0.510 0.607
36 Y 0.698 0.688 0.091
37 Y 0.802 0.409 0.812
38 Y 0.802 0.893 0.990
39 Y 0.812 0.510 0.403
40 Y 0.812 0.802 0.409
41 Y 0.893 0.403 0.091
42 Y 0.893 0.990 0.802
43 Y 0.903 0.010 0.312
44 Y 0.903 0.393 0.591
45 Y 0.909 0.107 0.597
46 Y 0.909 0.302 0.312
47 Y 0.990 0.688 0.097
48 Y 0.990 0.802 0.893
49 Cr 0.125 0.250 0.375
50 Cr 0.125 0.375 0.750
51 Cr 0.250 0.375 0.125
52 Cr 0.250 0.875 0.625
53 Cr 0.375 0.125 0.250
54 Cr 0.375 0.750 0.125
55 Cr 0.625 0.250 0.875
56 Cr 0.625 0.875 0.750
57 Cr 0.750 0.125 0.375
58 Cr 0.750 0.625 0.875
59 Cr 0.875 0.625 0.250
60 Cr 0.875 0.750 0.625
61 O 0.000 0.000 0.000
62 O 0.000 0.000 0.500
63 O 0.000 0.500 0.000
64 O 0.000 0.500 0.500
65 O 0.125 0.750 0.875
66 O 0.125 0.875 0.250
67 O 0.250 0.125 0.875
68 O 0.250 0.625 0.375
69 O 0.375 0.250 0.625
70 O 0.375 0.625 0.750
71 O 0.500 0.000 0.000
72 O 0.500 0.000 0.500
73 O 0.500 0.500 0.000
74 O 0.500 0.500 0.500
75 O 0.625 0.375 0.250
76 O 0.625 0.750 0.375
77 O 0.750 0.375 0.625
78 O 0.750 0.875 0.125
79 O 0.875 0.125 0.750
80 O 0.875 0.250 0.125

## Properties
Total energy (eV per atom): -7.522

# 8
Below is a relaxed YCrO2 crystal, with properties calculated at the GGA+U level.

abc: 4.970 4.970 10.502
angles: 90.00 90.00 90.00
Positions (direct):
1 Y 0.000 0.000 0.000
2 Y 0.000 0.500 0.250
3 Y 0.500 0.000 0.750
4 Y 0.500 0.500 0.500
5 Cr 0.000 0.000 0.500
6 Cr 0.000 0.500 0.750
7 Cr 0.500 0.000 0.250
8 Cr 0.500 0.500 0.000
9 O 0.249 0.250 0.625
10 O 0.250 0.749 0.875
11 O 0.250 0.751 0.375
12 O 0.251 0.250 0.125
13 O 0.749 0.750 0.125
14 O 0.750 0.249 0.375
15 O 0.750 0.251 0.875
16 O 0.751 0.750 0.625

## Properties
Total energy (eV per atom): -7.515

# 9
Below is a relaxed YCrO3 crystal, with properties calculated at the GGA+U level.

abc: 5.615 7.670 5.319
angles: 90.00 90.00 90.00
Positions (direct):
1 Y 0.067 0.250 0.019
2 Y 0.433 0.750 0.519
3 Y 0.567 0.250 0.481
4 Y 0.933 0.750 0.981
5 Cr 0.000 0.000 0.500
6 Cr 0.000 0.500 0.500
7 Cr 0.500 0.000 0.000
8 Cr 0.500 0.500 0.000
9 O 0.041 0.750 0.388
10 O 0.197 0.558 0.807
11 O 0.197 0.942 0.807
12 O 0.303 0.058 0.307
13 O 0.303 0.442 0.307
14 O 0.459 0.250 0.888
15 O 0.541 0.750 0.112
16 O 0.697 0.558 0.693
17 O 0.697 0.942 0.693
18 O 0.803 0.058 0.193
19 O 0.803 0.442 0.193
20 O 0.959 0.250 0.612

## Properties
Total energy (eV per atom): -8.557

# 10
Below is a relaxed YCrO3 crystal, with properties calculated at the GGA+U level.

abc: 3.820 3.820 3.820
angles: 90.00 90.00 90.00
Positions (direct):
1 Y 0.000 0.000 0.000
2 Cr 0.500 0.500 0.500
3 O 0.000 0.500 0.500
4 O 0.500 0.000 0.500
5 O 0.500 0.500 0.000

## Properties
Total energy (eV per atom): -8.249

# 11
Below is a relaxed YCr2O crystal, with properties calculated at the GGA+U level.

abc: 6.318 6.318 6.318
angles: 60.00 60.00 60.00
Positions (direct):
1 Y 0.125 0.125 0.125
2 Y 0.875 0.875 0.875
3 Cr 0.000 0.500 0.500
4 Cr 0.500 0.000 0.500
5 Cr 0.500 0.500 0.000
6 Cr 0.500 0.500 0.500
7 O 0.375 0.375 0.375
8 O 0.625 0.625 0.625

## Properties
Total energy (eV per atom): -7.065

# 12
Below is a relaxed Y2CrO crystal, with properties calculated at the GGA+U level.

abc: 6.760 6.760 8.462
angles: 90.00 90.00 90.00
Positions (direct):
1 Y 0.142 0.750 0.125
2 Y 0.250 0.142 0.875
3 Y 0.250 0.358 0.375
4 Y 0.358 0.750 0.625
5 Y 0.642 0.250 0.625
6 Y 0.750 0.642 0.375
7 Y 0.750 0.858 0.875
8 Y 0.858 0.250 0.125
9 Cr 0.000 0.000 0.500
10 Cr 0.000 0.500 0.750
11 Cr 0.500 0.000 0.250
12 Cr 0.500 0.500 0.000
13 O 0.000 0.000 0.000
14 O 0.000 0.500 0.250
15 O 0.500 0.000 0.750
16 O 0.500 0.500 0.500

## Properties
Total energy (eV per atom): -7.449

Number 1: mass density 9.2 g cm⁻³, calculated volume 12.09 A^3/atom, total magnetization 1.0417 μB per atom. Number 2: mass density 8.3 g cm⁻³, calculated volume 11.51 A^3/atom, total magnetization 0.6667 μB per atom. Number 3: mass density 10.4 g cm⁻³, calculated volume 10.67 A^3/atom, total magnetization 0.9968 μB per atom. Number 4: mass density 8.8 g cm⁻³, calculated volume 12.57 A^3/atom, total magnetization 1.5119 μB per atom. Number 5: mass density 7.1 g cm⁻³, calculated volume 12.37 A^3/atom, total magnetization 0.4167 μB per atom. Number 6: mass density 6.6 g cm⁻³, calculated volume 13.44 A^3/atom, total magnetization 0.4167 μB per atom. Number 7: mass density 4.6 g cm⁻³, calculated volume 23.49 A^3/atom, total magnetization 0.4990 μB per atom. Number 8: mass density 4.4 g cm⁻³, calculated volume 16.21 A^3/atom, total magnetization 0.2307 μB per atom. Number 9: mass density 5.5 g cm⁻³, calculated volume 11.45 A^3/atom, total magnetization 0.6000 μB per atom. Number 10: mass density 5.6 g cm⁻³, calculated volume 11.15 A^3/atom, total magnetization 0.6000 μB per atom. Number 11: mass density 3.9 g cm⁻³, calculated volume 22.29 A^3/atom, total magnetization 1.7566 μB per atom. Number 12: mass density 4.2 g cm⁻³, calculated volume 24.17 A^3/atom, total magnetization 1.0141 μB per atom.